{
  "formula": "HOs3Pd",
  "functional": "PBE",
  "state": "relaxed",
  "dos_ef_per_ev_fu": 4.7,
  "vol_a3_per_atom": 22.17,
  "m_tot_mub_per_atom": 1.50,
  "final_energy_ev_per_atom": -5.0774,
  "lattice_angstrom": [[4.8037, 0.0000, 0.0000], [0.0000, 4.8037, 0.0000], [0.0000, 0.0000, 4.8037]],
  "species": ["H", "Os", "Os", "Os", "Pd"],
  "frac_coords": [[0.0000, 0.0000, 0.0000], [0.0000, 0.5000, 0.5000], [0.5000, 0.0000, 0.5000], [0.5000, 0.5000, 0.0000], [0.5000, 0.5000, 0.5000]]
}